VASP calculation (GGA-PBE) on a geometry-optimized Y2AgHPd structure.

Calculated values
Excess energy over the best structure of this formula in the dataset in eV per atom: 0.061
DFT total energy in eV/atom: -5.3399
Crystal system: tetragonal

Lattice parameters (Å, degrees): 4.910 4.910 3.885 90.00 90.00 90.00
Space group P4/mmm (No. 123)
One atom of each set of equivalent atoms:
Y 0.000 0.500 0.000 (multiplicity 2)
Ag 0.000 0.000 0.500 (multiplicity 1)
H 0.000 0.000 0.000 (multiplicity 1)
Pd 0.500 0.500 0.500 (multiplicity 1)

VASP calculation (GGA-PBE) on a geometry-optimized SrNi2As2 structure.

Calculated values
Formation enthalpy at 0 K in eV per atom: -0.204
DFT total energy in eV/atom: -4.7131
Crystal system: tetragonal

Lattice parameters (Å, degrees): 7.539 7.539 3.096 90.00 90.00 90.00
Space group P4/mbm (No. 127)
One atom of each set of equivalent atoms:
Sr 0.000 0.000 0.000 (multiplicity 2)
Ni 0.114 0.386 0.000 (multiplicity 4)
As 0.152 0.652 0.500 (multiplicity 4)

VASP calculation (GGA-PBE) on a geometry-optimized ZnSiPt structure.

Calculated values
Raw formation energy in eV per atom: -0.320
DFT total energy in eV/atom: -4.5657
Crystal system: tetragonal

Lattice parameters (Å, degrees): 3.365 3.365 7.767 90.00 90.00 90.00
Space group I4mm (No. 107)
One atom of each set of equivalent atoms:
Zn 0.000 0.000 0.000 (multiplicity 2)
Si 0.000 0.000 0.679 (multiplicity 2)
Pt 0.000 0.000 0.330 (multiplicity 2)

Here are the calculated total moment numbers, same order: 0.0 0.0 0.0 (Bohr magnetons per cell).